{
  "formula": "MoPbBr2",
  "functional": "PBE-GGA",
  "state": "relaxed",
  "relative_energy_ev_per_atom": 0.307,
  "vol_a3_per_atom": 26.911,
  "space_group": "Cmm2",
  "formation_energy_uncorrected_ev_per_atom": 0.33,
  "e_tot_ha_per_atom": -0.1520,
  "dos_at_fermi_per_ev_cell": 4.55,
  "lattice_angstrom": [[3.461, 0.000, 0.000], [0.000, 6.235, 0.000], [0.000, 0.000, 9.978]],
  "species": ["Mo", "Mo", "Pb", "Pb", "Br", "Br", "Br", "Br"],
  "frac_coords": [[0.000, 0.000, 0.000], [0.500, 0.500, 0.000], [0.000, 0.500, 0.234], [0.500, 0.000, 0.234], [0.000, 0.000, 0.467], [0.000, 0.500, 0.813], [0.500, 0.000, 0.813], [0.500, 0.500, 0.467]]
}



{
  "formula": "MoPbBr2",
  "functional": "PBE-GGA",
  "state": "relaxed",
  "relative_energy_ev_per_atom": 0.209,
  "vol_a3_per_atom": 29.344,
  "space_group": "I-42d",
  "formation_energy_uncorrected_ev_per_atom": 0.24,
  "e_tot_ha_per_atom": -0.1557,
  "dos_at_fermi_per_ev_cell": 9.59,
  "lattice_angstrom": [[9.168, 0.000, 0.000], [0.000, 9.168, 0.000], [0.000, 0.000, 5.586]],
  "species": ["Mo", "Mo", "Mo", "Mo", "Pb", "Pb", "Pb", "Pb", "Br", "Br", "Br", "Br", "Br", "Br", "Br", "Br"],
  "frac_coords": [[0.000, 0.000, 0.000], [0.000, 0.500, 0.250], [0.500, 0.000, 0.750], [0.500, 0.500, 0.500], [0.000, 0.000, 0.500], [0.000, 0.500, 0.750], [0.500, 0.000, 0.250], [0.500, 0.500, 0.000], [0.122, 0.250, 0.125], [0.250, 0.622, 0.375], [0.250, 0.878, 0.875], [0.378, 0.250, 0.625], [0.622, 0.750, 0.625], [0.750, 0.122, 0.875], [0.750, 0.378, 0.375], [0.878, 0.750, 0.125]]
}



{
  "formula": "MoPbBr4",
  "functional": "PBE-GGA",
  "state": "relaxed",
  "vol_a3_per_atom": 30.330,
  "space_group": "F-43m",
  "formation_energy_uncorrected_ev_per_atom": 0.88,
  "e_tot_ha_per_atom": -0.0976,
  "dos_at_fermi_per_ev_cell": 3.97,
  "lattice_angstrom": [[0.000, 4.498, 4.498], [4.498, 0.000, 4.498], [4.498, 4.498, 0.000]],
  "species": ["Mo", "Pb", "Br", "Br", "Br", "Br"],
  "frac_coords": [[0.000, 0.000, 0.000], [0.750, 0.750, 0.750], [0.374, 0.374, 0.374], [0.374, 0.374, 0.877], [0.374, 0.877, 0.374], [0.877, 0.374, 0.374]]
}



{
  "formula": "MoPbBr2",
  "functional": "PBE-GGA",
  "state": "relaxed",
  "relative_energy_ev_per_atom": 0.418,
  "vol_a3_per_atom": 26.405,
  "space_group": "Pmmm",
  "formation_energy_uncorrected_ev_per_atom": 0.44,
  "e_tot_ha_per_atom": -0.1480,
  "dos_at_fermi_per_ev_cell": 1.56,
  "lattice_angstrom": [[3.608, 0.000, 0.000], [0.000, 4.785, 0.000], [0.000, 0.000, 6.118]],
  "species": ["Mo", "Pb", "Br", "Br"],
  "frac_coords": [[0.000, 0.000, 0.000], [0.500, 0.000, 0.500], [0.000, 0.500, 0.500], [0.500, 0.500, 0.000]]
}